[1]
Entry from the Alexandria database: a relaxed CeAlGa2 crystal (GGA-PBE).

Output
energy	-17.52	eV for the cell shown

```
CeAlGa2
1.0
4.3661 0.0000 0.0000
0.0000 4.3661 0.0000
0.0000 0.0000 4.2895
Ce Al Ga
1 1 2
direct
0.0000 0.0000 0.0000
0.5000 0.5000 0.0000
0.0000 0.5000 0.5000
0.5000 0.0000 0.5000
```


[2]
Entry from the Alexandria database: a relaxed CeAlGa3 crystal (GGA-PBE).

Output
energy	-20.63	eV for the cell shown

```
CeAlGa3
1.0
4.4076 0.0000 0.0000
-0.0028 4.4221 0.0000
-2.1823 -2.1912 5.1961
Ce Al Ga
1 1 3
direct
0.0000 0.0000 0.0000
0.3731 0.3731 0.7477
0.2457 0.7460 0.4916
0.6117 0.6116 0.2218
0.7453 0.2449 0.4902
```


[3]
Entry from the Alexandria database: a relaxed Ce3AlGa4 crystal (GGA-PBE).

Output
energy	-35.92	eV for the cell shown

```
Ce3AlGa4
1.0
-2.2947 3.4507 6.3998
2.2947 -3.4507 6.3998
2.2947 3.4507 -6.3998
Ce Al Ga
3 1 4
direct
0.0000 0.0000 0.0000
0.3195 0.8195 0.5000
0.6805 0.1805 0.5000
0.5000 0.5000 0.0000
0.0874 0.3839 0.7034
0.3195 0.6161 0.7034
0.6805 0.3839 0.2966
0.9126 0.6161 0.2966
```


[4]
Entry from the Alexandria database: a relaxed Ce3Al9Ga2 crystal (GGA-PBE).

Output
energy	-62.59	eV for the cell shown

```
Ce3Al9Ga2
1.0
-2.1873 5.0315 6.3700
2.1873 -5.0315 6.3700
2.1873 5.0315 -6.3700
Ce Al Ga
3 9 2
direct
0.0000 0.0000 0.0000
0.3145 0.3145 0.0000
0.6855 0.6855 0.0000
0.0313 0.6607 0.3706
0.1328 0.8588 0.2740
0.2901 0.6607 0.6294
0.4152 0.1412 0.2740
0.5000 0.0000 0.5000
0.5848 0.8588 0.7260
0.7099 0.3393 0.3706
0.8672 0.1412 0.7260
0.9687 0.3393 0.6294
0.2924 0.5000 0.7924
0.7076 0.5000 0.2076
```


> energy of number 2 (CeAlGa3)?

-20.63 eV for the cell shown